{
  "formula": "YVO4",
  "functional": "GGA+U",
  "state": "relaxed",
  "cell": [[6.0201, -0.0003, 0.0000], [-2.6548, 5.4031, 0.0000], [-1.6827, -2.7014, 5.1101]],
  "species": ["V", "O", "Y", "O", "Y", "V", "O", "O", "O", "O", "O", "O"],
  "frac_coords": [[0.7500, 0.2500, 0.5000], [0.8600, 0.6754, 0.1846], [0.0000, 0.0000, 0.0000], [0.9254, 0.6100, 0.6846], [0.2500, 0.7500, 0.5000], [0.5000, 0.5000, 0.0000], [0.9254, 0.2408, 0.3154], [0.7592, 0.0746, 0.6846], [0.3246, 0.1400, 0.8154], [0.3900, 0.0746, 0.3154], [0.3246, 0.5092, 0.1846], [0.4908, 0.6754, 0.8154]],
  "magmom_total_mub_per_cell": 0.0,
  "dos_ef_per_ev_cell": 0.0,
  "space_group": "I4_1/amd",
  "e_tot_ev_per_fu": -50.10
}